Compound: BeTcIr2
Source: the Alexandria database
Functional: GGA-PBEsol
Structure: relaxed

Total moment in μB/f.u.: 0.0
Energy of formation from the pure elements in eV per atom: -0.181
Density of states at the Fermi level in states/eV per atom: 0.727
Electronic total energy in eV for the cell shown: -35.64

abc: 2.6877 3.8825 5.0490
angles: 90.00 103.91 90.00
Space group P2/m (No. 10)
One atom of each set of equivalent atoms:
Be: 0.0000 0.0000 0.0000 [1 per cell]
Tc: 0.0000 0.0000 0.5000 [1 per cell]
Ir: 0.3736 0.5000 0.2346 [2 per cell]